1.
An optimized crystal structure of TiSeO. Source: Alexandria via LeMat-Bulk, functional PBE-GGA.

Cell lengths 13.681, 3.090, 5.598 Å; angles 90.00, 96.34, 90.00 degrees
Element x y z (fractional)
Ti1 0.000 0.000 0.000
Ti2 0.000 0.500 0.500
Ti3 0.500 0.000 0.500
Ti4 0.500 0.500 0.000
Se1 0.134 0.000 0.703
Se2 0.366 0.500 0.297
Se3 0.634 0.500 0.703
Se4 0.866 0.000 0.297
O1 0.058 0.500 0.192
O2 0.442 0.000 0.808
O3 0.558 0.000 0.192
O4 0.942 0.500 0.808

Computed properties:
* uncorrected formation energy: -1.9626 eV per atom
* density of states at the Fermi level: 1.14 states/eV/cell



2.
An optimized crystal structure of SnSe2IN. Source: Alexandria via LeMat-Bulk, functional PBE-GGA.

Cell lengths 5.563, 5.563, 3.992 Å; angles 90.00, 90.00, 90.00 degrees
Element x y z (fractional)
Sn1 0.000 0.000 0.000
Se1 0.000 0.500 0.500
Se2 0.500 0.000 0.500
I1 0.500 0.500 0.500
N1 0.500 0.500 0.000

Computed properties:
* uncorrected formation energy: 0.9423 eV per atom
* density of states at the Fermi level: 3.95 states/eV/cell



Repeat the first record exactly.
An optimized crystal structure of TiSeO. Source: Alexandria via LeMat-Bulk, functional PBE-GGA.

Cell lengths 13.681, 3.090, 5.598 Å; angles 90.00, 96.34, 90.00 degrees
Element x y z (fractional)
Ti1 0.000 0.000 0.000
Ti2 0.000 0.500 0.500
Ti3 0.500 0.000 0.500
Ti4 0.500 0.500 0.000
Se1 0.134 0.000 0.703
Se2 0.366 0.500 0.297
Se3 0.634 0.500 0.703
Se4 0.866 0.000 0.297
O1 0.058 0.500 0.192
O2 0.442 0.000 0.808
O3 0.558 0.000 0.192
O4 0.942 0.500 0.808

Computed properties:
* uncorrected formation energy: -1.9626 eV per atom
* density of states at the Fermi level: 1.14 states/eV/cell



- density of states at the Fermi level of number 2 (SnSe2IN)?
  3.95 states/eV/cell